Pm2ZrSn3Ir4 | GGA-PBE | relaxed

Results
Its total energy is -71.80 eV for the cell shown.

abc: 4.3609 4.3609 11.4540
angles: 90.00 90.00 90.00
With the nearest neighbours (Å) after each atom.
Space group P-4m2 (No. 115)
Unique sites:
Pm 0.0000 0.5000 0.2365 (multiplicity 2)  4 Sn 3.32, 8 Ir 3.38-3.48
Zr 0.0000 0.0000 0.5000 (multiplicity 1)  4 Ir 2.72
Sn 0.0000 0.5000 0.8700 (multiplicity 2)  5 Ir 2.61-2.64
Sn 0.5000 0.5000 0.5000 (multiplicity 1)  4 Ir 2.72
Ir 0.0000 0.0000 0.0000 (multiplicity 1)  4 Sn 2.64
Ir 0.0000 0.5000 0.6419 (multiplicity 2)  3 Sn 2.61-2.72, 2 Zr 2.72
Ir 0.5000 0.5000 0.0000 (multiplicity 1)  4 Sn 2.64



SrPm2Ir | GGA-PBE | relaxed

Results
The relative energy among the computed polymorphs is 0.00 eV/f.u.

abc: 4.2321 4.2321 28.7325
angles: 90.00 90.00 120.00
With the nearest neighbours (Å) after each atom.
Space group R3m (No. 160, hexagonal axes)
Unique sites:
Sr 0.0000 0.0000 0.0000 (multiplicity 3)  6 Pm 4.11-4.19, 6 Sr 4.23
Pm 0.0000 0.0000 0.2183 (multiplicity 3)  3 Ir 2.83
Pm 0.0000 0.0000 0.4519 (multiplicity 3)  3 Ir 2.83
Ir 0.0000 0.0000 0.8351 (multiplicity 3)  6 Pm 2.83